A relaxed structure of SrCa3Pd, computed with PBE-GGA.

Results
Polymorph energy (0 for the lowest one) (meV/atom): 1561

Unit cell a=6.0560 b=6.0560 c=6.0560 alpha=90.00 beta=90.00 gamma=90.00
Space group Pm-3m (No. 221)
Inequivalent atoms, fractional coordinates:
Sr (0.0000, 0.0000, 0.0000) x1
Ca (0.0000, 0.0000, 0.5000) x3
Pd (0.5000, 0.5000, 0.5000) x1



A relaxed structure of SrCa3Pd, computed with PBE-GGA.

Results
Polymorph energy (0 for the lowest one) (meV/atom): 7

Unit cell a=9.8460 b=14.8049 c=6.9746 alpha=90.00 beta=134.77 gamma=90.00
Space group Cc (No. 9)
Inequivalent atoms, fractional coordinates:
Sr (0.0000, 0.1983, 0.0000) x4
Ca (0.3301, 0.2017, 0.7895) x4
Ca (0.3810, 0.4498, 0.9324) x4
Ca (0.4368, 0.0437, 0.3264) x4
Pd (0.1518, 0.3787, 0.3807) x4



A relaxed structure of Sr2CaPd2, computed with PBE-GGA.

Results
Polymorph energy (0 for the lowest one) (meV/atom): 0

Unit cell a=8.0581 b=8.0581 c=4.4508 alpha=90.00 beta=90.00 gamma=90.00
Space group P4/mbm (No. 127)
Inequivalent atoms, fractional coordinates:
Sr (0.1639, 0.3361, 0.0000) x4
Ca (0.0000, 0.0000, 0.5000) x2
Pd (0.1275, 0.6275, 0.5000) x4



A relaxed structure of SrCa3Pd, computed with PBE-GGA.

Results
Polymorph energy (0 for the lowest one) (meV/atom): 15

Unit cell a=5.8619 b=8.2465 c=7.8179 alpha=90.00 beta=97.98 gamma=90.00
Space group P2_1/m (No. 11)
Inequivalent atoms, fractional coordinates:
Sr (0.0287, 0.2500, 0.0774) x2
Ca (0.0782, 0.7500, 0.4444) x2
Ca (0.4648, 0.0217, 0.7425) x4
Pd (0.3895, 0.2500, 0.4511) x2



| no. | energy relative to the elements (kJ/mol of atoms) |
| --- | --- |
| 1 | 120.14 |
| 2 | -29.78 |
| 3 | -52.43 |
| 4 | -29.07 |